(1)
# NaHAu

NaHAu after structural relaxation (PBE, the Alexandria database).

abc: 2.9982 2.9982 5.8355
angles: 104.89 104.89 90.00
Fractional coordinates of all 3 atoms:
H  0.4147  0.4147  0.8293
Au  0.5805  0.5805  0.1610
Na  0.8549  0.8549  0.7097

Summary:
Energy relative to the lowest polymorph listed for this composition in eV per atom: 0.211
DFT total energy in eV/atom: -2.59
D(E_F) in states/eV/f.u.: 0.6
Total magnetic moment in μB/f.u.: 0.000
Calculated volume in Å³ per cell: 49


(2)
# NaH3Au

NaH3Au after structural relaxation (PBE, the Alexandria database).

abc: 3.7352 4.0762 4.0762
angles: 90.41 90.00 90.00
Fractional coordinates of all 5 atoms:
Au  0.5000  0.0258  0.9742
H  0.5000  0.3142  0.2617
H  0.0000  0.0257  0.9743
Na  0.0000  0.5240  0.4760
H  0.5000  0.7383  0.6858

Summary:
Energy relative to the lowest polymorph listed for this composition in eV per atom: 0.083
DFT total energy in eV/atom: -2.99
D(E_F) in states/eV/f.u.: 0.5
Total magnetic moment in μB/f.u.: 0.000
Calculated volume in Å³ per cell: 62


(3)
# NaH3Au

NaH3Au after structural relaxation (PBE, the Alexandria database).

abc: 3.7878 4.7486 6.2332
angles: 90.00 107.40 90.00
Fractional coordinates of all 10 atoms:
H  0.1685  0.9983  0.8440
Au  0.0711  0.7500  0.6444
Na  0.6408  0.2500  0.7867
Na  0.3592  0.7500  0.2133
H  0.8315  0.0017  0.1560
H  0.5649  0.7500  0.6318
Au  0.9289  0.2500  0.3556
H  0.1685  0.5017  0.8440
H  0.4351  0.2500  0.3682
H  0.8315  0.4983  0.1560

Summary:
Energy relative to the lowest polymorph listed for this composition in eV per atom: 0.184
DFT total energy in eV/atom: -2.89
D(E_F) in states/eV/f.u.: 0.2
Total magnetic moment in μB/f.u.: 0.000
Calculated volume in Å³ per cell: 107


(4)
# Na2H5Au

Na2H5Au after structural relaxation (PBE, the Alexandria database).

abc: 5.2599 5.2599 5.2601
angles: 122.73 122.73 85.35
Fractional coordinates of all 8 atoms:
H  0.7566  0.7566  0.5378
Na  0.7557  0.2556  0.4999
Au  0.0092  0.0092  0.0000
Na  0.2556  0.7557  0.4999
H  0.7568  0.2189  0.0000
H  0.2514  0.2514  0.0001
H  0.2189  0.7568  0.0000
H  0.2189  0.2189  0.4622

Summary:
DFT total energy in eV/atom: -2.94
Total magnetic moment in μB/f.u.: 0.000
Calculated volume in Å³ per cell: 98


(5)
# Na2H4Au

Na2H4Au after structural relaxation (PBE, the Alexandria database).

abc: 4.1079 5.3458 8.8161
angles: 90.00 108.50 90.00
Fractional coordinates of all 14 atoms:
Au  0.4085  0.7500  0.2561
H  0.6885  0.2500  0.5730
Na  0.9027  0.7500  0.6062
H  0.4955  0.9411  0.7219
Na  0.7260  0.7500  0.9669
H  0.2905  0.7500  0.0499
H  0.7095  0.2500  0.9501
Na  0.2740  0.2500  0.0331
H  0.5045  0.4411  0.2781
H  0.5045  0.0589  0.2781
H  0.4955  0.5589  0.7219
Au  0.5915  0.2500  0.7439
Na  0.0973  0.2500  0.3938
H  0.3115  0.7500  0.4270

Summary:
DFT total energy in eV/atom: -2.84
D(E_F) in states/eV/f.u.: 0.8
Total magnetic moment in μB/f.u.: 0.000
Calculated volume in Å³ per cell: 184


(6)
# NaH3Au

NaH3Au after structural relaxation (PBE, the Alexandria database).

abc: 5.0624 3.7757 7.1418
angles: 90.00 90.00 90.00
Fractional coordinates of all 10 atoms:
H  0.5000  0.3335  0.0295
Na  0.0000  0.5000  0.2649
H  0.0000  0.1665  0.9705
H  0.0000  0.8335  0.9705
H  0.5000  0.0000  0.4301
Na  0.5000  0.0000  0.7351
Au  0.0000  0.5000  0.8033
Au  0.5000  0.0000  0.1967
H  0.0000  0.5000  0.5699
H  0.5000  0.6665  0.0295

Summary:
Energy relative to the lowest polymorph listed for this composition in eV per atom: 0.275
DFT total energy in eV/atom: -2.79
D(E_F) in states/eV/f.u.: 0.5
Total magnetic moment in μB/f.u.: 0.000
Calculated volume in Å³ per cell: 137


Which formula does entry 1 have? NaHAu


Which value of calculated volume does entry 1 give? 49 Å³ per cell


Look up the DFT total energy of the fourth one. -2.94 eV/atom


The highest DFT total energy belongs to which entry? NaHAu